Material: SrAc2Bi3
Method: DFT, PBE
State: optimized geometry

```
data_SrAc2Bi3
_chemical_formula_sum 'Sr1 Ac2 Bi3'
_space_group_name_H-M_alt 'P 1'
_space_group_IT_number 1
_cell_length_a 8.483
_cell_length_b 8.483
_cell_length_c 8.483
_cell_angle_alpha 146.77
_cell_angle_beta 132.11
_cell_angle_gamma 59.53
loop_
_space_group_symop_operation_xyz
'x,y,z'
loop_
_atom_site_label
_atom_site_type_symbol
_atom_site_fract_x
_atom_site_fract_y
_atom_site_fract_z
Sr1 Sr 0.000 0.000 0.000
Ac1 Ac 0.335 0.335 0.000
Ac2 Ac 0.665 0.665 0.000
Bi1 Bi 0.170 0.670 0.500
Bi2 Bi 0.500 0.000 0.500
Bi3 Bi 0.830 0.330 0.500
```

Summary:
- Polymorph energy (0 for the lowest one): 10.1 meV per atom
- Total moment: 0.000 μB per atom
- ρ: 7.89 g/cm3
- Symmetry: Immm
- ΔH_f (0 K): -0.89 eV/atom